(1)
## Hf2AgPd2 (GGA-PBE)

Data for an optimized crystal structure of Hf2AgPd2.

Output
* E_tot: -71.34 eV/cell
* E_form: -2.5 eV/f.u.
* ΔE to the lowest computed polymorph: 0.000 eV per atom

```
data_Hf2AgPd2
_chemical_formula_sum 'Hf4 Ag2 Pd4'
_symmetry_space_group_name_H-M 'P 4/m b m'
_symmetry_Int_Tables_number 127
_symmetry_space_group_name_Hall '-P 4 2ab'
_cell_length_a 7.511
_cell_length_b 7.511
_cell_length_c 3.315
_cell_angle_alpha 90.00
_cell_angle_beta 90.00
_cell_angle_gamma 90.00
loop_
_atom_site_label
_atom_site_type_symbol
_atom_site_fract_x
_atom_site_fract_y
_atom_site_fract_z
Hf1 Hf 0.170 0.330 0.000
Ag1 Ag 0.000 0.000 0.500
Pd1 Pd 0.130 0.630 0.500
```

=====

(2)
## DyTiPdRh (GGA-PBE)

Data for an optimized crystal structure of DyTiPdRh.

Output
* E_tot: -110.07 eV/cell
* E_form: -2.5 eV/f.u.

```
data_DyTiPdRh
_chemical_formula_sum 'Dy4 Ti4 Pd4 Rh4'
_symmetry_space_group_name_H-M 'F -4 3 m'
_symmetry_Int_Tables_number 216
_symmetry_space_group_name_Hall 'F -4 2 3'
_cell_length_a 6.614
_cell_length_b 6.614
_cell_length_c 6.614
_cell_angle_alpha 90.00
_cell_angle_beta 90.00
_cell_angle_gamma 90.00
loop_
_atom_site_label
_atom_site_type_symbol
_atom_site_fract_x
_atom_site_fract_y
_atom_site_fract_z
Dy1 Dy 0.000 0.000 0.000
Ti1 Ti 0.000 0.000 0.500
Pd1 Pd 0.250 0.250 0.250
Rh1 Rh 0.250 0.250 0.750
```

=====

(3)
## CdB2MoAu (GGA-PBE)

Data for an optimized crystal structure of CdB2MoAu.

Output
* E_tot: -17.52 eV/cell
* E_form: 10.9 eV/f.u.

```
data_CdB2MoAu
_chemical_formula_sum 'Cd1 B2 Mo1 Au1'
_symmetry_space_group_name_H-M 'P 4/m m m'
_symmetry_Int_Tables_number 123
_symmetry_space_group_name_Hall '-P 4 2'
_cell_length_a 4.217
_cell_length_b 4.217
_cell_length_c 5.375
_cell_angle_alpha 90.00
_cell_angle_beta 90.00
_cell_angle_gamma 90.00
loop_
_atom_site_label
_atom_site_type_symbol
_atom_site_fract_x
_atom_site_fract_y
_atom_site_fract_z
Cd1 Cd 0.000 0.000 0.000
B1 B 0.000 0.500 0.000
Mo1 Mo 0.500 0.500 0.500
Au1 Au 0.000 0.000 0.500
```